Here is a relaxed structure of Na4US5 from the Open Quantum Materials Database. Energies are from PBE-GGA.

abc: 6.9783 6.9783 6.9783
angles: 98.99 98.99 133.43
Closest atoms and distances in Å follow each position.
Fractional coordinates of all 10 atoms:
U: 0.0000 0.0000 0.0000  6 S 2.52-2.76
S: 0.9188 0.7345 0.6533  1 U 2.52, 2 Na 2.78
S: 0.2655 0.9188 0.1843  1 U 2.52, 2 Na 2.78
S: 0.0812 0.2655 0.3467  1 U 2.52, 2 Na 2.78
S: 0.7345 0.0812 0.8157  1 U 2.52, 2 Na 2.78
S: 0.5000 0.5000 0.0000  2 U 2.76, 4 Na 2.87
Na: 0.6025 0.7996 0.4021  5 S 2.78-2.93
Na: 0.3975 0.2004 0.5979  5 S 2.78-2.93
Na: 0.7996 0.3975 0.1971  5 S 2.78-2.93
Na: 0.2004 0.6025 0.8029  5 S 2.78-2.93

Computed properties:
E_tot = -49.5 eV for the cell shown
Density = 3.59 g/cm³
Total magnetic moment = 0.00 μB/f.u.